Here is an optimized crystal structure of VGa2SiO6 from Alexandria. Energies are from GGA+U.

Cell lengths 5.5615, 6.9746, 6.9746 Å; angles 98.21, 74.28, 74.28 degrees
Each line ends with the local moment (μB).
Atoms (fractional coordinates):
1 V 0.2500 0.9040 0.0960  2.75
2 V 0.7500 0.0960 0.9040  2.75
3 Ga 0.3351 0.7183 0.5514  0.01
4 Ga 0.1649 0.4486 0.2817  0.01
5 Ga 0.6649 0.2817 0.4486  0.01
6 Ga 0.8351 0.5514 0.7183  0.01
7 Si 0.2500 0.1801 0.8199  0.00
8 Si 0.7500 0.8199 0.1801  0.00
9 O 0.1830 0.9597 0.7987  -0.01
10 O 0.3170 0.2013 0.0403  -0.01
11 O 0.8170 0.0403 0.2013  -0.01
12 O 0.6830 0.7987 0.9597  -0.01
13 O 0.4621 0.8485 0.3437  0.00
14 O 0.0379 0.6563 0.1515  0.00
15 O 0.5379 0.1515 0.6563  0.00
16 O 0.9621 0.3437 0.8485  0.00
17 O 0.0120 0.6897 0.5537  0.00
18 O 0.4880 0.4463 0.3103  0.00
19 O 0.9880 0.3103 0.4463  0.00
20 O 0.5120 0.5537 0.6897  0.00


Here is an optimized crystal structure of V2GaSiO6 from Alexandria. Energies are from GGA+U.

Cell lengths 5.0813, 5.0887, 5.3334 Å; angles 61.33, 61.39, 60.09 degrees
Each line ends with the local moment (μB).
Atoms (fractional coordinates):
1 V 0.5259 0.5249 0.4243  2.01
2 V 0.0188 0.0184 0.9443  2.65
3 Ga 0.8072 0.8083 0.5794  0.02
4 Si 0.3173 0.3170 0.0489  0.02
5 O 0.5692 0.2226 0.2439  0.00
6 O 0.2214 0.9640 0.2445  0.00
7 O 0.9644 0.5689 0.2426  -0.01
8 O 0.4434 0.6774 0.7620  -0.02
9 O 0.6770 0.1170 0.7632  -0.02
10 O 0.1170 0.4431 0.7620  -0.02


| no. | E_tot (eV/cell) |
| --- | --- |
| 1 | -137.721 |
| 2 | -73.334 |